# 1
Entry from Alexandria via LeMat-Bulk: crystalline AuIO2F at its relaxed geometry (PBE).

Calculated density (g/cm³): 5.4
Energy relative to the elements, uncorrected (eV/atom): 0.321

Structure (POSCAR):
```
AuIO2F
1.0
3.841 0.000 0.000
0.000 3.841 0.000
0.000 0.000 7.793
Au I O F
1 1 2 1
direct
0.000 0.000 0.000
0.000 0.000 0.500
0.000 0.500 0.000
0.500 0.000 0.000
0.500 0.500 0.500
```

---

# 2
Entry from Alexandria via LeMat-Bulk: crystalline ThHIr3 at its relaxed geometry (PBE).

Calculated density (g/cm³): 18.2

Structure (POSCAR):
```
ThHIr3
1.0
4.197 0.000 0.000
0.000 4.197 0.000
0.000 0.000 4.197
Th H Ir
1 1 3
direct
0.000 0.000 0.000
0.500 0.500 0.500
0.000 0.500 0.500
0.500 0.000 0.500
0.500 0.500 0.000
```

---

Quick rundown of total energy, same order as above: -0.2206 -0.5827 Ry/atom